Pm5PrSm4: optimized geometry, PBE.

## Properties
Formation enthalpy at 0 K: 0.14 eV per atom
Total magnetization: 0.000 μB/atom
ΔE to the lowest computed polymorph: 0 meV per atom
Calculated density: 7.023 g/cm³
DOS at the Fermi energy: 1.718 states/eV per atom

a b c (Å): 28.7553 3.5078 6.9359
angles (deg): 90.00 97.34 90.00
With the nearest neighbours (Å) after each atom.
Space group C2/m (No. 12)
One atom of each set of equivalent atoms:
1 Pm 0.0000 0.0000 0.0000 x2  2 Pr 3.47, 2 Pm 3.51, 6 Sm 3.54-3.65
2 Pm 0.2016 0.5000 0.0996 x4  8 Pm 3.47-3.70, 3 Sm 3.48-3.65
3 Pm 0.2060 0.5000 0.6027 x4  8 Pm 3.47-3.60, 3 Sm 3.65-3.70
4 Pr 0.0000 0.0000 0.5000 x2  2 Pm 3.47, 2 Pr 3.51, 6 Sm 3.55-3.66
5 Sm 0.0945 0.5000 0.8014 x4  4 Pm 3.48-3.65, 4 Sm 3.51-3.89, 2 Pr 3.66
6 Sm 0.1084 0.0000 0.3066 x4  6 Sm 3.51-3.92, 5 Pm 3.54-3.70, 1 Pr 3.55